i | ! K2VRh, optimized geometry, DFT PBE; values from VASP
! **Crystal system**: cubic
! **SG**: Fm-3m (225)
! **Calculated volume**: 111.7 Å³ per cell
! **Density**: 3.45 Mg/m³
&SYSTEM
  ibrav = 0, nat = 4, ntyp = 3
/
ATOMIC_SPECIES
K 39.10 K.upf
V 50.94 V.upf
Rh 102.91 Rh.upf
ATOMIC_POSITIONS angstrom
K 1.911 1.911 1.911
K 5.734 5.734 5.734
V 0.000 0.000 0.000
Rh 3.823 3.823 3.823
CELL_PARAMETERS angstrom
0.000 3.823 3.823
3.823 0.000 3.823
3.823 3.823 0.000

=====

ii | ! K2VRh, optimized geometry, DFT PBE; values from VASP
! **Crystal system**: tetragonal
! **SG**: I-42d (122)
! **Calculated volume**: 350.5 Å³ per cell
! **Density**: 2.20 Mg/m³
&SYSTEM
  ibrav = 0, nat = 8, ntyp = 3
/
ATOMIC_SPECIES
K 39.10 K.upf
V 50.94 V.upf
Rh 102.91 Rh.upf
ATOMIC_POSITIONS angstrom
K 0.956 3.085 0.576
K -3.085 5.213 1.727
K -0.956 9.254 0.576
K 3.085 7.126 1.727
V 6.170 0.000 1.151
V 0.000 0.000 2.302
Rh 0.000 0.000 0.000
Rh 0.000 6.170 1.151
CELL_PARAMETERS angstrom
-6.170 6.170 2.302
6.170 -6.170 2.302
6.170 6.170 -2.302

=====

Which structure is most stable, and how do the rest compare? From most to least stable: ii, i.

=====

i | ! KV2Rh, optimized geometry, DFT PBE; values from VASP
! **Crystal system**: cubic
! **SG**: Fm-3m (225)
! **Calculated volume**: 67.1 Å³ per cell
! **Density**: 6.04 Mg/m³
&SYSTEM
  ibrav = 0, nat = 4, ntyp = 3
/
ATOMIC_SPECIES
K 39.10 K.upf
V 50.94 V.upf
Rh 102.91 Rh.upf
ATOMIC_POSITIONS angstrom
K 0.000 0.000 0.000
V 1.613 1.613 1.613
V 4.838 4.838 4.838
Rh 3.225 3.225 3.225
CELL_PARAMETERS angstrom
0.000 3.225 3.225
3.225 0.000 3.225
3.225 3.225 0.000

=====

ii | ! KV2Rh, optimized geometry, DFT PBE; values from VASP
! **Crystal system**: tetragonal
! **SG**: I4_1/amd (141)
! **Calculated volume**: 235.0 Å³ per cell
! **Density**: 3.45 Mg/m³
&SYSTEM
  ibrav = 0, nat = 8, ntyp = 3
/
ATOMIC_SPECIES
K 39.10 K.upf
V 50.94 V.upf
Rh 102.91 Rh.upf
ATOMIC_POSITIONS angstrom
K 2.700 1.350 2.015
K 0.000 1.350 6.044
V 0.000 0.000 0.000
V 1.350 1.350 -4.029
V 1.350 -1.350 4.029
V 0.000 2.700 0.000
Rh 2.700 -1.350 6.044
Rh 0.000 4.050 2.015
CELL_PARAMETERS angstrom
-2.700 2.700 8.059
2.700 -2.700 8.059
2.700 2.700 -8.059

=====

Which structure is most stable, and how do the rest compare? From most to least stable: i, ii.